(1)
Ca2TlIr: optimized geometry, GGA-PBE.

Energy relative to the elements (meV per atom): -46
Uncorrected energy (eV per formula unit): -15.42
ΔE to the lowest computed polymorph (meV/atom): 248
V (Å³ per atom): 25.95

Structure (CIF):
```
data_Ca2TlIr
_chemical_formula_sum 'Ca6 Tl3 Ir3'
_cell_length_a 3.5607
_cell_length_b 3.5607
_cell_length_c 28.3606
_cell_angle_alpha 90.00
_cell_angle_beta 90.00
_cell_angle_gamma 120.00
_symmetry_space_group_name_H-M 'R -3 m'
_symmetry_Int_Tables_number 166
_symmetry_space_group_name_Hall '-R 3 2"'
loop_
_atom_site_label
_atom_site_fract_x
_atom_site_fract_y
_atom_site_fract_z
Ca1 0.0000 0.0000 0.2369
Tl1 0.0000 0.0000 0.0000
Ir1 0.0000 0.0000 0.5000
```

(2)
Ag2P: optimized geometry, GGA-PBE.

Energy relative to the elements (meV per atom): 271
Uncorrected energy (eV per formula unit): -10.30
ΔE to the lowest computed polymorph (meV/atom): 101
V (Å³ per atom): 17.84

Structure (CIF):
```
data_Ag2P
_chemical_formula_sum 'Ag6 P3'
_cell_length_a 6.7568
_cell_length_b 6.7568
_cell_length_c 4.0620
_cell_angle_alpha 90.00
_cell_angle_beta 90.00
_cell_angle_gamma 120.00
_symmetry_space_group_name_H-M 'P -6 2 m'
_symmetry_Int_Tables_number 189
_symmetry_space_group_name_Hall 'P -6 -2'
loop_
_atom_site_label
_atom_site_fract_x
_atom_site_fract_y
_atom_site_fract_z
Ag1 0.0000 0.4011 0.0000
Ag2 0.0000 0.7420 0.5000
P1 0.0000 0.0000 0.0000
P2 0.3333 0.6667 0.5000
```

(3)
Ce2Ho2Er7: optimized geometry, GGA-PBE.

Energy relative to the elements (meV per atom): 206
Uncorrected energy (eV per formula unit): -50.70
ΔE to the lowest computed polymorph (meV/atom): 0
V (Å³ per atom): 31.40

Structure (CIF):
```
data_Ce2Ho2Er7
_chemical_formula_sum 'Ce4 Ho4 Er14'
_cell_length_a 10.9945
_cell_length_b 11.4967
_cell_length_c 5.9287
_cell_angle_alpha 90.00
_cell_angle_beta 112.81
_cell_angle_gamma 90.00
_symmetry_space_group_name_H-M 'C 1 2/m 1'
_symmetry_Int_Tables_number 12
_symmetry_space_group_name_Hall '-C 2y'
loop_
_atom_site_label
_atom_site_fract_x
_atom_site_fract_y
_atom_site_fract_z
Ce1 0.0000 0.2146 0.0000
Ho1 0.2308 0.0000 0.0868
Er1 0.0000 0.0000 0.5000
Er2 0.0933 0.5000 0.3070
Er3 0.1723 0.2369 0.6726
```

(4)
NaMg5Tl8: optimized geometry, GGA-PBE.

Energy relative to the elements (meV per atom): 5
Uncorrected energy (eV per formula unit): -28.15
V (Å³ per atom): 26.98

Structure (CIF):
```
data_NaMg5Tl8
_chemical_formula_sum 'Na2 Mg10 Tl16'
_cell_length_a 9.0233
_cell_length_b 9.0233
_cell_length_c 9.2783
_cell_angle_alpha 90.00
_cell_angle_beta 90.00
_cell_angle_gamma 90.00
_symmetry_space_group_name_H-M 'I -4'
_symmetry_Int_Tables_number 82
_symmetry_space_group_name_Hall 'I -4'
loop_
_atom_site_label
_atom_site_fract_x
_atom_site_fract_y
_atom_site_fract_z
Na1 0.0000 0.0000 0.0000
Mg1 0.0000 0.5000 0.7500
Mg2 0.1267 0.2852 0.3359
Tl1 0.0696 0.1683 0.6656
Tl2 0.0886 0.3315 0.0142
```

(5)
Sm3HgPd12: optimized geometry, GGA-PBE.

Energy relative to the elements (meV per atom): -629
Uncorrected energy (eV per formula unit): -86.83
V (Å³ per atom): 17.82

Structure (CIF):
```
data_Sm3HgPd12
_chemical_formula_sum 'Sm3 Hg1 Pd12'
_cell_length_a 4.1449
_cell_length_b 4.1449
_cell_length_c 16.5936
_cell_angle_alpha 90.00
_cell_angle_beta 90.00
_cell_angle_gamma 90.00
_symmetry_space_group_name_H-M 'P 4/m m m'
_symmetry_Int_Tables_number 123
_symmetry_space_group_name_Hall '-P 4 2'
loop_
_atom_site_label
_atom_site_fract_x
_atom_site_fract_y
_atom_site_fract_z
Sm1 0.0000 0.0000 0.0000
Sm2 0.0000 0.0000 0.2545
Hg1 0.0000 0.0000 0.5000
Pd1 0.0000 0.5000 0.1263
Pd2 0.0000 0.5000 0.3792
Pd3 0.5000 0.5000 0.0000
Pd4 0.5000 0.5000 0.2522
Pd5 0.5000 0.5000 0.5000
```

(6)
ZrCoN: optimized geometry, GGA-PBE.

Uncorrected energy (eV per formula unit): -26.67
V (Å³ per atom): 12.73
Raw formation energy (eV/f.u.): -2.689

Structure (CIF):
```
data_ZrCoN
_chemical_formula_sum 'Zr1 Co1 N1'
_cell_length_a 3.1971
_cell_length_b 3.1971
_cell_length_c 3.7357
_cell_angle_alpha 90.00
_cell_angle_beta 90.00
_cell_angle_gamma 90.00
_symmetry_space_group_name_H-M 'P 4/m m m'
_symmetry_Int_Tables_number 123
_symmetry_space_group_name_Hall '-P 4 2'
loop_
_atom_site_label
_atom_site_fract_x
_atom_site_fract_y
_atom_site_fract_z
Zr1 0.0000 0.0000 0.0000
Co1 0.5000 0.5000 0.5000
N1 0.5000 0.5000 0.0000
```

(7)
LaBi3B: optimized geometry, GGA-PBE.

Energy relative to the elements (meV per atom): 1440
Uncorrected energy (eV per formula unit): -16.05
ΔE to the lowest computed polymorph (meV/atom): 1204
V (Å³ per atom): 46.55

Structure (CIF):
```
data_LaBi3B
_chemical_formula_sum 'La1 Bi3 B1'
_cell_length_a 6.1512
_cell_length_b 6.1512
_cell_length_c 6.1512
_cell_angle_alpha 90.00
_cell_angle_beta 90.00
_cell_angle_gamma 90.00
_symmetry_space_group_name_H-M 'P m -3 m'
_symmetry_Int_Tables_number 221
_symmetry_space_group_name_Hall '-P 4 2 3'
loop_
_atom_site_label
_atom_site_fract_x
_atom_site_fract_y
_atom_site_fract_z
La1 0.0000 0.0000 0.0000
Bi1 0.0000 0.0000 0.5000
B1 0.5000 0.5000 0.5000
```

(8)
HoMnCoSi2: optimized geometry, GGA-PBE.

Uncorrected energy (eV per formula unit): -35.15
V (Å³ per atom): 15.14
Raw formation energy (eV/f.u.): -3.449

Structure (CIF):
```
data_HoMnCoSi2
_chemical_formula_sum 'Ho2 Mn2 Co2 Si4'
_cell_length_a 3.9002
_cell_length_b 3.9002
_cell_length_c 9.9518
_cell_angle_alpha 90.00
_cell_angle_beta 90.00
_cell_angle_gamma 90.00
_symmetry_space_group_name_H-M 'I -4 m 2'
_symmetry_Int_Tables_number 119
_symmetry_space_group_name_Hall 'I -4 -2'
loop_
_atom_site_label
_atom_site_fract_x
_atom_site_fract_y
_atom_site_fract_z
Ho1 0.0000 0.0000 0.0000
Mn1 0.0000 0.5000 0.7500
Co1 0.0000 0.5000 0.2500
Si1 0.0000 0.0000 0.3763
```